No. 1
A relaxed structure of Li2AlTl. Source: the Alexandria database, functional PBEsol.

```
4
Lattice="3.508 0.000 0.000 0.000 3.508 0.000 0.000 0.000 6.064" Properties=species:S:1:pos:R:3 pbc="T T T"
Li 0.000 0.000 0.000
Li 1.754 1.754 1.530
Al 1.754 1.754 4.679
Tl 0.000 0.000 2.979
```

Space group   P4mm
Formation energy   -38.6 kJ/mol of formula units



No. 2
A relaxed structure of CdAsRh2. Source: the Alexandria database, functional PBEsol.

```
4
Lattice="-1.884 1.884 4.322 1.884 -1.884 4.322 1.884 1.884 -4.322" Properties=species:S:1:pos:R:3 pbc="T T T"
Cd 0.000 0.000 0.000
As 1.884 0.000 2.161
Rh 0.000 0.000 4.322
Rh 0.000 1.884 2.161
```

Space group   I-4m2
Distance to the lowest polymorph of the same formula   0.343 eV/atom
Formation energy   24.8 kJ/mol of formula units



No. 3
A relaxed structure of CoTeRh2Pb. Source: the Alexandria database, functional PBEsol.

```
5
Lattice="4.911 0.000 0.000 0.000 4.911 0.000 0.000 0.000 4.650" Properties=species:S:1:pos:R:3 pbc="T T T"
Co 0.000 0.000 0.000
Te 2.456 2.456 0.000
Rh 0.000 2.456 2.325
Rh 2.456 0.000 2.325
Pb 0.000 0.000 2.325
```

Space group   P4/mmm



No. 4
A relaxed structure of BeH2N. Source: the Alexandria database, functional PBEsol.

```
8
Lattice="-1.183 1.183 11.799 1.183 -1.183 11.799 1.183 1.183 -11.799" Properties=species:S:1:pos:R:3 pbc="T T T"
Be 1.183 0.591 2.950
Be 0.000 0.591 8.849
H 0.000 0.000 0.000
H 0.591 0.591 -5.899
H 0.591 -0.591 5.899
H 0.000 1.183 0.000
N 1.183 -0.591 8.849
N 0.000 1.774 2.950
```

Space group   I4_1/amd



No. 5
A relaxed structure of FePBr2. Source: the Alexandria database, functional PBEsol.

```
4
Lattice="1.658 0.957 8.535 -1.658 0.957 8.535 0.000 -1.914 8.535" Properties=species:S:1:pos:R:3 pbc="T T T"
Fe 0.000 0.000 0.000
P 0.000 0.000 12.803
Br 0.000 0.000 6.904
Br 0.000 0.000 18.702
```

Space group   R-3m
Distance to the lowest polymorph of the same formula   0.487 eV/atom



No. 6
A relaxed structure of POs2Cl. Source: the Alexandria database, functional PBEsol.

```
4
Lattice="3.455 -1.450 0.000 3.455 1.450 0.000 -2.615 0.000 6.862" Properties=species:S:1:pos:R:3 pbc="T T T"
P 0.000 0.000 0.000
Os 1.990 0.000 1.126
Os 2.306 0.000 5.736
Cl 2.148 0.000 3.431
```

Space group   C2/m
Distance to the lowest polymorph of the same formula   0.000 eV/atom



No. 7
A relaxed structure of Nd3Ga5O12. Source: the Alexandria database, functional PBEsol.

```
80
Lattice="-6.249 6.249 6.249 6.249 -6.249 6.249 6.249 6.249 -6.249" Properties=species:S:1:pos:R:3 pbc="T T T"
Nd 3.125 1.562 0.000
Nd 6.249 3.125 -1.562
Nd 1.562 0.000 3.125
Nd 7.812 0.000 3.125
Nd 0.000 3.125 1.562
Nd 3.125 -1.562 6.249
Nd 3.125 7.812 0.000
Nd 6.249 3.125 4.687
Nd -1.562 6.249 3.125
Nd 4.687 6.249 3.125
Nd 0.000 3.125 7.812
Nd 3.125 4.687 6.249
Ga 0.000 0.000 0.000
Ga 3.125 3.125 -3.125
Ga 3.125 -3.125 3.125
Ga 6.249 0.000 0.000
Ga 9.374 1.562 0.000
Ga 6.249 -3.125 4.687
Ga 4.687 6.249 -3.125
Ga 4.687 0.000 3.125
Ga 3.125 4.687 0.000
Ga 6.249 3.125 1.562
Ga -3.125 3.125 3.125
Ga 0.000 6.249 0.000
Ga 0.000 0.000 6.249
Ga 3.125 3.125 3.125
Ga 0.000 3.125 4.687
Ga 3.125 1.562 6.249
Ga 1.562 6.249 3.125
Ga 1.562 0.000 9.374
Ga 0.000 9.374 1.562
Ga -3.125 4.687 6.249
O 1.857 -0.372 0.664
O 7.517 3.789 -3.496
O 8.107 0.372 0.664
O 7.517 -2.460 3.496
O 5.878 -0.664 1.857
O 9.746 -1.267 2.460
O 0.664 1.857 -0.372
O 8.710 2.753 -1.267
O 3.789 3.496 -1.267
O 5.585 1.857 0.372
O -0.372 0.664 1.857
O 3.496 -1.267 3.789
O 5.878 5.585 -1.857
O 3.496 1.267 2.460
O 3.789 -3.496 7.517
O 5.585 -1.857 5.878
O 2.460 3.496 1.267
O 6.914 4.392 0.372
O 3.496 7.517 -2.460
O 5.878 0.664 4.392
O 1.857 5.878 -0.664
O 7.517 2.460 2.753
O 1.267 2.460 3.496
O 1.857 0.372 5.585
O 4.392 5.878 0.664
O 4.982 3.789 2.753
O -1.267 3.789 3.496
O 4.392 0.372 6.914
O 0.372 5.585 1.857
O 2.753 -1.267 8.710
O -0.664 1.857 5.878
O 3.789 2.753 4.982
O 0.664 8.107 0.372
O 2.460 9.746 -1.267
O 2.753 4.982 3.789
O 0.372 0.664 8.107
O 2.753 7.517 2.460
O 6.621 5.585 4.392
O 0.664 4.392 5.878
O 2.460 2.753 7.517
O -2.460 3.496 7.517
O 5.585 4.392 6.621
O -3.496 7.517 3.789
O 0.372 6.914 4.392
O -1.267 8.710 2.753
O -1.857 5.878 5.585
O -1.267 2.460 9.746
O 4.392 6.621 5.585
```

Space group   Ia-3d



No. 8
A relaxed structure of KBe2Tl. Source: the Alexandria database, functional PBEsol.

```
4
Lattice="2.997 0.000 0.000 0.000 3.205 0.000 0.000 0.000 8.146" Properties=species:S:1:pos:R:3 pbc="T T T"
K 0.000 0.000 0.000
Be 0.000 0.000 4.988
Be 1.498 1.602 5.520
Tl 1.498 1.602 2.829
```

Space group   Pmm2
Distance to the lowest polymorph of the same formula   0.000 eV/atom
Formation energy   209.8 kJ/mol of formula units



No. 9
A relaxed structure of NaNiH3. Source: the Alexandria database, functional PBEsol.

```
10
Lattice="4.243 -2.449 0.000 4.243 2.449 0.000 -0.033 0.000 4.588" Properties=species:S:1:pos:R:3 pbc="T T T"
Na 1.406 0.000 1.147
Na 7.047 0.000 3.441
Ni 4.243 0.000 0.000
Ni 4.226 0.000 2.294
H 3.646 1.019 1.142
H 3.041 0.000 3.430
H 4.807 1.019 3.446
H 3.646 -1.019 1.142
H 5.411 0.000 1.158
H 4.807 -1.019 3.446
```

Space group   C2/m



No. 10
A relaxed structure of CrTc4Te. Source: the Alexandria database, functional PBEsol.

```
6
Lattice="0.000 3.619 3.619 3.619 0.000 3.619 3.619 3.619 0.000" Properties=species:S:1:pos:R:3 pbc="T T T"
Cr 0.000 0.000 0.000
Tc 2.709 2.709 2.709
Tc 4.528 4.528 2.709
Tc 4.528 2.709 4.528
Tc 2.709 4.528 4.528
Te 5.428 5.428 5.428
```

Space group   F-43m



No. 11
A relaxed structure of Ta2SiTe. Source: the Alexandria database, functional PBEsol.

```
4
Lattice="3.246 0.000 0.000 0.000 3.246 0.000 0.000 0.000 6.625" Properties=species:S:1:pos:R:3 pbc="T T T"
Ta 0.000 0.000 1.460
Ta 0.000 0.000 5.165
Si 1.623 1.623 0.000
Te 1.623 1.623 3.313
```

Space group   P4/mmm
Distance to the lowest polymorph of the same formula   0.000 eV/atom



No. 12
A relaxed structure of OsSeCl3. Source: the Alexandria database, functional PBEsol.

```
5
Lattice="4.996 0.000 0.000 0.000 4.996 0.000 0.000 0.000 4.996" Properties=species:S:1:pos:R:3 pbc="T T T"
Os 0.000 0.000 0.000
Se 2.498 2.498 2.498
Cl 0.000 2.498 2.498
Cl 2.498 0.000 2.498
Cl 2.498 2.498 0.000
```

Space group   Pm-3m



No. 13
A relaxed structure of Mg2Tl. Source: the Alexandria database, functional PBEsol.

```
3
Lattice="-1.773 2.551 3.968 1.773 -2.551 3.968 1.773 2.551 -3.968" Properties=species:S:1:pos:R:3 pbc="T T T"
Mg 0.000 0.000 1.551
Mg 0.000 0.000 6.384
Tl 0.000 2.551 0.000
```

Space group   Immm
Formation energy   -11.1 kJ/mol of formula units



No. 14
A relaxed structure of Ho2MgTc. Source: the Alexandria database, functional PBEsol.

```
4
Lattice="0.000 3.489 3.489 3.489 0.000 3.489 3.489 3.489 0.000" Properties=species:S:1:pos:R:3 pbc="T T T"
Ho 1.745 1.745 1.745
Ho 5.234 5.234 5.234
Mg 0.000 0.000 0.000
Tc 3.489 3.489 3.489
```

Space group   Fm-3m
Formation energy   4.2 kJ/mol of formula units



No. 15
A relaxed structure of BaHg11. Source: the Alexandria database, functional PBEsol.

```
36
Lattice="9.619 0.000 0.000 0.000 9.619 0.000 0.000 0.000 9.619" Properties=species:S:1:pos:R:3 pbc="T T T"
Ba 0.000 0.000 4.809
Ba 0.000 4.809 0.000
Ba 4.809 0.000 0.000
Hg 0.000 3.316 3.316
Hg 0.000 3.316 6.302
Hg 0.000 6.302 3.316
Hg 0.000 6.302 6.302
Hg 1.481 1.481 1.481
Hg 1.481 1.481 8.138
Hg 1.481 8.138 1.481
Hg 1.481 8.138 8.138
Hg 2.579 2.579 4.809
Hg 2.579 4.809 2.579
Hg 2.579 4.809 7.039
Hg 2.579 7.039 4.809
Hg 3.316 0.000 3.316
Hg 3.316 0.000 6.302
Hg 3.316 3.316 0.000
Hg 3.316 6.302 0.000
Hg 4.809 2.579 2.579
Hg 4.809 2.579 7.039
Hg 4.809 4.809 4.809
Hg 4.809 7.039 2.579
Hg 4.809 7.039 7.039
Hg 6.302 0.000 3.316
Hg 6.302 0.000 6.302
Hg 6.302 3.316 0.000
Hg 6.302 6.302 0.000
Hg 7.039 2.579 4.809
Hg 7.039 4.809 2.579
Hg 7.039 4.809 7.039
Hg 7.039 7.039 4.809
Hg 8.138 1.481 1.481
Hg 8.138 1.481 8.138
Hg 8.138 8.138 1.481
Hg 8.138 8.138 8.138
```

Space group   Pm-3m
Formation energy   -230.7 kJ/mol of formula units



No. 16
A relaxed structure of Re2HgAs. Source: the Alexandria database, functional PBEsol.

```
4
Lattice="4.096 -1.480 0.000 4.096 1.480 0.000 -1.136 0.000 5.399" Properties=species:S:1:pos:R:3 pbc="T T T"
Re 1.735 0.000 1.087
Re 5.320 0.000 4.312
Hg -0.568 0.000 2.700
As 4.096 0.000 0.000
```

Space group   C2/m
Distance to the lowest polymorph of the same formula   0.102 eV/atom
Formation energy   247.7 kJ/mol of formula units



No. 17
A relaxed structure of ZnInHg. Source: the Alexandria database, functional PBEsol.

```
3
Lattice="0.000 3.202 3.202 3.202 0.000 3.202 3.202 3.202 0.000" Properties=species:S:1:pos:R:3 pbc="T T T"
Zn 0.000 0.000 0.000
In 1.601 1.601 1.601
Hg 4.803 4.803 4.803
```

Space group   F-43m
Distance to the lowest polymorph of the same formula   0.000 eV/atom
Formation energy   8.5 kJ/mol of formula units



No. 18
A relaxed structure of GaMo3. Source: the Alexandria database, functional PBEsol.

```
8
Lattice="4.911 0.000 0.000 0.000 4.911 0.000 0.000 0.000 4.911" Properties=species:S:1:pos:R:3 pbc="T T T"
Ga 0.000 0.000 0.000
Ga 2.455 2.455 2.455
Mo 0.000 1.228 2.455
Mo 0.000 3.683 2.455
Mo 1.228 2.455 0.000
Mo 2.455 0.000 1.228
Mo 2.455 0.000 3.683
Mo 3.683 2.455 0.000
```

Space group   Pm-3n
Formation energy   -75.5 kJ/mol of formula units



No. 19
A relaxed structure of SmCl3. Source: the Alexandria database, functional PBEsol.

```
8
Lattice="9.414 0.000 0.000 -4.707 8.153 0.000 0.000 0.000 3.663" Properties=species:S:1:pos:R:3 pbc="T T T"
Sm 0.000 5.435 0.916
Sm 4.707 2.718 2.748
Cl 0.000 3.456 2.748
Cl -1.715 6.425 2.748
Cl 2.993 1.728 0.916
Cl 1.715 6.425 2.748
Cl 6.422 1.728 0.916
Cl 4.707 4.698 0.916
```

Space group   P6_3/mmc



No. 20
A relaxed structure of ZrCdMo2. Source: the Alexandria database, functional PBEsol.

```
4
Lattice="-1.708 2.329 4.471 1.708 -2.329 4.471 1.708 2.329 -4.471" Properties=species:S:1:pos:R:3 pbc="T T T"
Zr 0.000 0.000 0.000
Cd 1.708 0.000 2.462
Mo 0.000 0.000 4.852
Mo 0.000 2.329 2.235
```

Space group   Imm2
Formation energy   76.1 kJ/mol of formula units



Q: Which uncorrected energy values were calculated for the entries above? A: -2.76 -5.58 -4.91 -4.42 -4.19 -7.84 -7.30 -2.40 -3.70 -9.18 -8.67 -3.01 -2.06 -5.71 -0.90 -7.44 -1.68 -9.86 -4.95 -8.26, in eV/atom.
Q: Which Fermi-level density of states values were calculated for the entries above? A: 1.3 4.5 7.9 2.4 2.3 1.0 0.0 2.1 1.3 6.1 1.8 8.1 0.9 2.7 15.7 2.5 0.7 3.4 0.0 4.1, in states/eV/cell.